This record from Alexandria describes crystalline TbCr2H8 at its relaxed geometry. The functional is GGA-PBE.

Cell and atoms, written as CIF:
```
data_TbCr2H8
_chemical_formula_sum 'Tb2 Cr4 H16'
_cell_length_a 4.414
_cell_length_b 7.812
_cell_length_c 4.368
_cell_angle_alpha 90.00
_cell_angle_beta 90.00
_cell_angle_gamma 90.00
_symmetry_space_group_name_H-M 'A m m 2'
_symmetry_Int_Tables_number 38
_symmetry_space_group_name_Hall 'A 2 -2'
loop_
_atom_site_label
_atom_site_fract_x
_atom_site_fract_y
_atom_site_fract_z
Tb1 0.000 0.000 0.000
Cr1 0.500 0.177 0.519
H1 0.220 0.229 0.245
H2 0.251 0.000 0.500
H3 0.500 0.115 0.907
```

Summary:
The calculated total energy is -104.9 eV/cell.